# TiGeTe3 | the Alexandria database | PBE | relaxed
# Energy relative to the elements, uncorrected   -0.34 eV/atom
# Magnetization   0.2 μB/f.u.
# D(E_F)   2.10 states/eV/f.u.
data_TiGeTe3
_chemical_formula_sum 'Ti2 Ge2 Te6'
_space_group_name_H-M_alt 'P 1 21/m 1'
_space_group_IT_number 11
_cell_length_a 8.054
_cell_length_b 3.955
_cell_length_c 9.158
_cell_angle_alpha 90.00
_cell_angle_beta 93.97
_cell_angle_gamma 90.00
loop_
_space_group_symop_operation_xyz
'x,y,z'
'-x,-y,-z'
'-x,y+1/2,-z'
'x,-y+1/2,z'
loop_
_atom_site_label
_atom_site_type_symbol
_atom_site_fract_x
_atom_site_fract_y
_atom_site_fract_z
Ti1 Ti 0.080 0.250 0.148
Ge1 Ge 0.380 0.250 0.666
Te1 Te 0.003 0.250 0.664
Te2 Te 0.235 0.750 0.982
Te3 Te 0.376 0.250 0.352

---

# Ti8GeTe2 | the Alexandria database | PBE | relaxed
# Energy relative to the elements, uncorrected   -0.21 eV/atom
# Magnetization   0.0 μB/f.u.
# D(E_F)   10.85 states/eV/f.u.
data_Ti8GeTe2
_chemical_formula_sum 'Ti16 Ge2 Te4'
_space_group_name_H-M_alt 'C 1 2/m 1'
_space_group_IT_number 12
_cell_length_a 6.971
_cell_length_b 12.417
_cell_length_c 5.029
_cell_angle_alpha 90.00
_cell_angle_beta 111.97
_cell_angle_gamma 90.00
loop_
_space_group_symop_operation_xyz
'x,y,z'
'-x,-y,-z'
'-x,y,-z'
'x,-y,z'
'x+1/2,y+1/2,z'
'-x+1/2,-y+1/2,-z'
'-x+1/2,y+1/2,-z'
'x+1/2,-y+1/2,z'
loop_
_atom_site_label
_atom_site_type_symbol
_atom_site_fract_x
_atom_site_fract_y
_atom_site_fract_z
Ti1 Ti 0.000 0.217 0.000
Ti2 Ti 0.097 0.500 0.808
Ti3 Ti 0.198 0.104 0.658
Ge1 Ge 0.000 0.000 0.000
Te1 Te 0.000 0.303 0.500